(1)
# TcBrCl2

An optimized crystal structure of TcBrCl2 (PBE, Alexandria).

a = 5.1201 Å, b = 6.9843 Å, c = 6.9099 Å
α = 90.00°, β = 111.63°, γ = 90.00°
Closest atoms and distances in Å follow each position.
Fractional positions:
Tc1 0.0009 0.2500 0.0021  4 Cl 2.40-2.44, 2 Br 2.58
Tc2 0.9991 0.7500 0.9979  4 Cl 2.40-2.44, 2 Br 2.58
Br1 0.4769 0.7500 0.9534  2 Tc 2.58
Br2 0.5231 0.2500 0.0466  2 Tc 2.58
Cl1 0.1295 0.5054 0.2603  2 Tc 2.40-2.44
Cl2 0.1295 0.9946 0.2603  2 Tc 2.40-2.44
Cl3 0.8705 0.0054 0.7397  2 Tc 2.40-2.44
Cl4 0.8705 0.4946 0.7397  2 Tc 2.40-2.44

Values from the calculation:
The value obtained for the raw formation energy is -0.404 eV per atom. Its distance to the lowest polymorph of the same formula is 10 kJ/mol of formula units.


(2)
# Tl2TcBrCl6

An optimized crystal structure of Tl2TcBrCl6 (PBE, Alexandria).

a = 6.9748 Å, b = 7.0366 Å, c = 8.8410 Å
α = 91.69°, β = 109.81°, γ = 119.17°
Closest atoms and distances in Å follow each position.
Fractional positions:
Tl1 0.0000 0.0000 0.0000  1 Br 3.10, 4 Cl 3.18-3.41
Tl2 0.0165 0.5936 0.5970  1 Br 2.88, 5 Cl 2.98-3.10
Tc1 0.2776 0.2190 0.4958  6 Cl 2.35-2.37
Br1 0.2181 0.7211 0.9526  2 Tl 2.88-3.10
Cl1 0.0826 0.2134 0.6703  1 Tc 2.37
Cl2 0.1059 0.3982 0.3332  1 Tc 2.35
Cl3 0.4526 0.0441 0.6610  1 Tc 2.35
Cl4 0.4804 0.2287 0.3274  1 Tc 2.36
Cl5 0.6090 0.5770 0.6558  1 Tc 2.36
Cl6 0.9418 0.8642 0.3370  1 Tc 2.36

Values from the calculation:
The value obtained for the raw formation energy is -0.749 eV per atom.


(3)
# Tl2TcBr5Cl

An optimized crystal structure of Tl2TcBr5Cl (PBE, Alexandria).

a = 7.3608 Å, b = 7.3608 Å, c = 7.3608 Å
α = 119.17°, β = 119.17°, γ = 91.45°
Closest atoms and distances in Å follow each position.
Fractional positions:
Tl1 0.0000 0.5000 0.5000  10 Br 3.65-3.73, 2 Cl 3.73
Tl2 0.5000 0.0000 0.5000  10 Br 3.65-3.73, 2 Cl 3.73
Tc1 0.2472 0.2472 0.0000  1 Cl 2.37, 5 Br 2.52-2.53
Br1 0.0020 0.0020 0.0000  1 Tc 2.52
Br2 0.0052 0.0052 0.5194  1 Tc 2.53
Br3 0.0052 0.4858 0.0000  1 Tc 2.53
Br4 0.4858 0.0052 0.0000  1 Tc 2.53
Br5 0.4858 0.4858 0.4806  1 Tc 2.53
Cl1 0.4773 0.4773 0.0000  1 Tc 2.37

Values from the calculation:
The value obtained for the raw formation energy is -0.674 eV per atom.


(4)
# Te2BrCl

An optimized crystal structure of Te2BrCl (PBE, Alexandria).

a = 5.7490 Å, b = 5.7490 Å, c = 3.3044 Å
α = 90.00°, β = 90.00°, γ = 110.36°
Closest atoms and distances in Å follow each position.
Fractional positions:
Te1 0.0000 0.5000 0.0000  4 Te 3.28-3.30, 4 Cl 3.32, 4 Br 3.32
Te2 0.5000 0.0000 0.0000  4 Te 3.28-3.30, 4 Cl 3.32, 4 Br 3.32
Br1 0.0000 0.0000 0.5000  2 Cl 3.28, 2 Br 3.30, 8 Te 3.32
Cl1 0.5000 0.5000 0.5000  2 Br 3.28, 2 Cl 3.30, 8 Te 3.32

Values from the calculation:
The value obtained for the raw formation energy is 0.281 eV per atom. Its distance to the lowest polymorph of the same formula is 209 kJ/mol of formula units.


(5)
# Te2BrCl

An optimized crystal structure of Te2BrCl (PBE, Alexandria).

a = 6.0855 Å, b = 6.0855 Å, c = 6.0855 Å
α = 146.96°, β = 116.06°, γ = 73.88°
Closest atoms and distances in Å follow each position.
Fractional positions:
Te1 0.2496 0.2496 0.0000  2 Cl 2.98, 2 Br 2.99
Te2 0.7504 0.7504 0.0000  2 Cl 2.98, 2 Br 2.99
Br1 0.5000 0.0000 0.5000  4 Te 2.99
Cl1 0.0000 0.5000 0.5000  4 Te 2.98

Values from the calculation:
The value obtained for the raw formation energy is 0.150 eV per atom. Its distance to the lowest polymorph of the same formula is 159 kJ/mol of formula units.


(6)
# Te2BrCl

An optimized crystal structure of Te2BrCl (PBE, Alexandria).

a = 4.5356 Å, b = 4.5356 Å, c = 7.4884 Å
α = 90.00°, β = 90.00°, γ = 90.00°
Closest atoms and distances in Å follow each position.
Fractional positions:
Te1 0.0000 0.0000 0.0000  1 Br 2.55
Te2 0.5000 0.5000 0.0536  1 Cl 2.40
Br1 0.0000 0.0000 0.3411  1 Te 2.55
Cl1 0.5000 0.5000 0.7334  1 Te 2.40

Values from the calculation:
The value obtained for the raw formation energy is -0.099 eV per atom. Its distance to the lowest polymorph of the same formula is 63 kJ/mol of formula units.


(7)
# TeBr2Cl

An optimized crystal structure of TeBr2Cl (PBE, Alexandria).

a = 7.2825 Å, b = 7.2825 Å, c = 7.2825 Å
α = 150.79°, β = 134.82°, γ = 54.71°
Closest atoms and distances in Å follow each position.
Fractional positions:
Te1 0.0000 0.0000 0.0000  2 Cl 2.69, 2 Br 2.80
Br1 0.5026 0.5026 0.0000  4 Te 3.35, 2 Cl 3.40, 4 Br 3.52-3.67
Br2 0.8368 0.3368 0.5000  2 Te 2.80
Cl1 0.1517 0.6517 0.5000  2 Te 2.69

Values from the calculation:
The value obtained for the raw formation energy is -0.082 eV per atom. Its distance to the lowest polymorph of the same formula is 99 kJ/mol of formula units.


(8)
# Te2BrCl

An optimized crystal structure of Te2BrCl (PBE, Alexandria).

a = 5.1607 Å, b = 5.1607 Å, c = 9.5874 Å
α = 90.00°, β = 90.00°, γ = 136.07°
Closest atoms and distances in Å follow each position.
Fractional positions:
Te1 0.0000 0.0000 0.0000  2 Te 2.81, 2 Cl 2.85
Te2 0.5000 0.5000 0.2128  2 Te 2.81, 2 Br 2.98
Br1 0.0000 0.0000 0.4498  2 Te 2.98
Cl1 0.5000 0.5000 0.7817  2 Te 2.85

Values from the calculation:
The value obtained for the raw formation energy is 0.015 eV per atom. Its distance to the lowest polymorph of the same formula is 106 kJ/mol of formula units.


(9)
# TeBr2Cl

An optimized crystal structure of TeBr2Cl (PBE, Alexandria).

a = 12.0610 Å, b = 12.0610 Å, c = 12.0610 Å
α = 17.01°, β = 17.01°, γ = 17.01°
Closest atoms and distances in Å follow each position.
Fractional positions:
Te1 0.0000 0.0000 0.0000  2 Br 2.60
Br1 0.0729 0.0729 0.0729  1 Te 2.60
Br2 0.9271 0.9271 0.9271  1 Te 2.60
Cl1 0.5000 0.5000 0.5000  6 Cl 3.57, 6 Br 3.93

Values from the calculation:
The value obtained for the raw formation energy is 0.193 eV per atom. Its distance to the lowest polymorph of the same formula is 206 kJ/mol of formula units.


(10)
# TeBr2Cl

An optimized crystal structure of TeBr2Cl (PBE, Alexandria).

a = 3.9858 Å, b = 3.9858 Å, c = 10.1836 Å
α = 90.00°, β = 90.00°, γ = 124.46°
Closest atoms and distances in Å follow each position.
Fractional positions:
Te1 0.0000 0.0000 0.0000  2 Cl 2.65, 2 Br 2.76
Br1 0.0000 0.0000 0.4907  4 Br 3.49-3.71, 2 Cl 3.79
Br2 0.5000 0.5000 0.2003  2 Te 2.76
Cl1 0.5000 0.5000 0.8149  2 Te 2.65

Values from the calculation:
The value obtained for the raw formation energy is 0.003 eV per atom. Its distance to the lowest polymorph of the same formula is 132 kJ/mol of formula units.


(11)
# Te2BrCl2

An optimized crystal structure of Te2BrCl2 (PBE, Alexandria).

a = 8.0962 Å, b = 8.0962 Å, c = 5.3097 Å
α = 90.00°, β = 90.00°, γ = 90.00°
Closest atoms and distances in Å follow each position.
Fractional positions:
Te1 0.1204 0.3796 0.0000  2 Cl 2.67, 1 Te 2.76
Te2 0.3796 0.8796 0.0000  2 Cl 2.67, 1 Te 2.76
Te3 0.6204 0.1204 0.0000  2 Cl 2.67, 1 Te 2.76
Te4 0.8796 0.6204 0.0000  2 Cl 2.67, 1 Te 2.76
Br1 0.0000 0.0000 0.0000  4 Te 3.22
Br2 0.5000 0.5000 0.0000  4 Te 3.22
Cl1 0.1447 0.3553 0.5000  2 Te 2.67
Cl2 0.3553 0.8553 0.5000  2 Te 2.67
Cl3 0.6447 0.1447 0.5000  2 Te 2.67
Cl4 0.8553 0.6447 0.5000  2 Te 2.67

Values from the calculation:
The value obtained for the raw formation energy is -0.167 eV per atom.


(12)
# TeBr2Cl

An optimized crystal structure of TeBr2Cl (PBE, Alexandria).

a = 5.6034 Å, b = 4.3486 Å, c = 7.2805 Å
α = 90.00°, β = 112.52°, γ = 90.00°
Closest atoms and distances in Å follow each position.
Fractional positions:
Te1 0.0000 0.0000 0.0000  2 Cl 2.71, 4 Br 2.81-2.83
Br1 0.1351 0.5000 0.2699  2 Te 2.83
Br2 0.4894 0.0000 0.9785  2 Te 2.81
Cl1 0.8794 0.5000 0.7585  2 Te 2.71

Values from the calculation:
The value obtained for the raw formation energy is -0.272 eV per atom. Its distance to the lowest polymorph of the same formula is 26 kJ/mol of formula units.


(13)
# TeBr2Cl

An optimized crystal structure of TeBr2Cl (PBE, Alexandria).

a = 6.6332 Å, b = 5.4325 Å, c = 5.4094 Å
α = 75.44°, β = 52.44°, γ = 52.12°
Closest atoms and distances in Å follow each position.
Fractional positions:
Te1 0.0000 0.0000 0.0000  2 Cl 2.72
Br1 0.0000 0.5000 0.5000  2 Br 2.72
Br2 0.5000 0.0000 0.0000  2 Br 2.72
Cl1 0.5000 0.5000 0.5000  2 Te 2.72

Values from the calculation:
The value obtained for the raw formation energy is 0.141 eV per atom. Its distance to the lowest polymorph of the same formula is 185 kJ/mol of formula units.


(14)
# Te2BrCl

An optimized crystal structure of Te2BrCl (PBE, Alexandria).

a = 10.5606 Å, b = 10.5606 Å, c = 10.5606 Å
α = 19.00°, β = 19.00°, γ = 19.00°
Closest atoms and distances in Å follow each position.
Fractional positions:
Te1 0.0850 0.0850 0.0850  1 Cl 2.64
Te2 0.9150 0.9150 0.9150  1 Cl 2.64
Br1 0.5000 0.5000 0.5000  6 Te 3.24, 6 Br 3.49
Cl1 0.0000 0.0000 0.0000  2 Te 2.64

Values from the calculation:
The value obtained for the raw formation energy is 0.103 eV per atom. Its distance to the lowest polymorph of the same formula is 141 kJ/mol of formula units.